Entry 1:
# PmAs2O

An optimized crystal structure of PmAs2O (GGA-PBE, OQMD via LeMat-Bulk).

```
8
Lattice="4.6920 0.0000 0.0000 0.0000 4.6920 0.0000 0.0000 0.0000 7.4337" Properties=species:S:1:pos:R:3 pbc="T T T"
Pm 1.1730 3.5190 0.0000
Pm 3.5190 1.1730 0.0000
As 1.1730 1.1730 1.6236
As 1.1730 1.1730 4.0908
As 3.5190 3.5190 3.3429
As 3.5190 3.5190 5.8100
O 1.1730 3.5190 3.7168
O 3.5190 1.1730 3.7168
```

Output
As for the energy above the most stable polymorph in this dataset: 0.9823 eV/atom. As for the space group: No. 129.

=====

Entry 2:
# Sm2YSi4Ag4

An optimized crystal structure of Sm2YSi4Ag4 (GGA-PBE, OQMD via LeMat-Bulk).

```
11
Lattice="-2.0526 2.1249 12.8356 2.0526 -2.1249 12.8356 2.0526 2.1249 -12.8356" Properties=species:S:1:pos:R:3 pbc="T T T"
Sm 0.0000 0.0000 3.7890
Sm 0.0000 0.0000 21.8821
Y 0.0000 2.1249 0.0000
Si 2.0526 0.0000 1.1652
Si 0.0000 0.0000 7.9917
Si 0.0000 0.0000 17.6795
Si 0.0000 2.1249 11.6704
Ag 2.0526 0.0000 6.3939
Ag 0.0000 0.0000 10.4452
Ag 0.0000 0.0000 15.2260
Ag 0.0000 2.1249 6.4416
```

Output
As for the space group: No. 71.

=====

Number 1: total magnetization 0.00 μB per formula unit, raw total energy -40.82 eV for the cell shown. Number 2: total magnetization 0.01 μB per formula unit, raw total energy -54.10 eV for the cell shown.